Compound: CaMnTe2
Source: Alexandria via LeMat-Bulk
Functional: meta-GGA SCAN
Structure: single point on PBEsol structure Values from VASP.

Cell and atoms, written as Quantum ESPRESSO input:
```
&SYSTEM
  ibrav = 0, nat = 4, ntyp = 3
/
ATOMIC_SPECIES
Ca 40.08 Ca.upf
Te 127.60 Te.upf
Mn 54.94 Mn.upf
CELL_PARAMETERS angstrom
-1.963 3.775 -0.070
-4.853 -0.076 2.645
0.212 2.599 4.874
ATOMIC_POSITIONS angstrom
Ca -0.982 1.888 -0.035
Te -3.872 2.883 5.339
Te -2.733 3.416 2.110
Mn -2.321 1.261 3.759
```

Computed properties:
ΔE_f (raw) in eV/atom: -0.799
Distance to the lowest polymorph of the same formula in eV per atom: 0.3410
Electronic total energy in eV for the cell shown: -105.6

Compound: La3Sn5
Source: Alexandria via LeMat-Bulk
Functional: meta-GGA SCAN
Structure: single point on PBEsol structure Values from VASP.

Cell and atoms, written as Quantum ESPRESSO input:
```
&SYSTEM
  ibrav = 0, nat = 16, ntyp = 2
/
ATOMIC_SPECIES
La 138.91 La.upf
Sn 118.71 Sn.upf
CELL_PARAMETERS angstrom
-2.596 5.773 1.852
-5.343 -3.782 -0.806
0.582 -2.969 10.071
ATOMIC_POSITIONS angstrom
La -4.595 -0.965 8.216
La -2.762 -0.013 2.901
La -2.864 2.344 6.347
La -3.155 3.829 1.311
La -4.493 -3.323 4.770
La -4.784 -1.838 -0.265
Sn 0.252 -2.181 7.578
Sn -7.608 1.202 3.539
Sn -1.949 -2.198 9.914
Sn -5.408 1.220 1.204
Sn -2.183 -1.001 5.853
Sn -5.173 0.022 5.264
Sn -2.398 -3.665 7.293
Sn -6.111 -1.322 2.709
Sn -4.959 2.687 3.824
Sn -1.245 0.344 8.409
```

Computed properties:
Energy of formation in eV per atom: -0.84
Electronic total energy in eV for the cell shown: -631.3

| no. | total moment (μB per formula unit) |
| --- | --- |
| 1 | 4.89 |
| 2 | 0.00 |